[1]
KNiRu2Pt: optimized geometry, PBE-GGA.

The structure belongs to space group P4/mmm (No. 123); the cell edges are 4.9090, 4.9090 and 4.8073 Å and the angles 90.00°, 90.00° and 90.00°. The inequivalent atoms are K at (0.0000, 0.0000, 0.0000), Ni at (0.5000, 0.5000, 0.0000), Ru at (0.0000, 0.5000, 0.5000) and Pt at (0.5000, 0.5000, 0.5000).

The electronic total energy comes out at -4.92 eV per atom. The calculated density is 7095 kg/m3. As for the formation energy: 1.3789 eV/atom.

=====

[2]
K2NiPtS4: optimized geometry, PBE-GGA.

The structure belongs to space group Fddd (No. 70, origin choice 2); the cell edges are 5.7629, 12.8472 and 21.2976 Å and the angles 90.00°, 90.00° and 90.00°. The inequivalent atoms are K at (0.1250, 0.1250, 0.3082), Ni at (0.1250, 0.1250, 0.6250), Pt at (0.1250, 0.1250, 0.1250) and S at (0.1072, 0.2814, 0.8161).

The value obtained for the raw formation energy is -0.545 eV per atom. The electronic total energy comes out at -4.36 eV per atom. The calculated density is 3877 kg/m3.

=====

[3]
KTa2NiPt: optimized geometry, PBE-GGA.

The structure belongs to space group P4/mmm (No. 123); the cell edges are 4.9429, 4.9429 and 4.9927 Å and the angles 90.00°, 90.00° and 90.00°. The inequivalent atoms are K at (0.0000, 0.0000, 0.0000), Ta at (0.0000, 0.5000, 0.5000), Ni at (0.5000, 0.5000, 0.0000) and Pt at (0.5000, 0.5000, 0.5000).

The electronic total energy comes out at -6.07 eV per atom. The calculated density is 8913 kg/m3. As for the formation energy: 1.2518 eV/atom.

=====

[4]
KZr2NiPt: optimized geometry, PBE-GGA.

The structure belongs to space group P4/mmm (No. 123); the cell edges are 4.8119, 4.8119 and 5.2716 Å and the angles 90.00°, 90.00° and 90.00°. The inequivalent atoms are K at (0.0000, 0.0000, 0.0000), Zr at (0.0000, 0.5000, 0.5000), Ni at (0.0000, 0.0000, 0.5000) and Pt at (0.5000, 0.5000, 0.0000).

The electronic total energy comes out at -5.34 eV per atom. The calculated density is 6466 kg/m3. As for the formation energy: 0.6670 eV/atom.